No. 1
Compound: GdPuPb
Source: Alexandria
Functional: GGA-PBE
Structure: relaxed

Values from the calculation:
- crystal system = tetragonal
- energy (eV per atom) = -10.86
- formation energy from the elements (eV per atom) = -0.16
- offset from the most stable computed form (meV per atom) = 0

Cell and atoms, written as POSCAR:
```
GdPuPb
1.0
4.1061 0.0000 0.0000
0.0000 4.1061 0.0000
0.0000 0.0000 10.3181
Gd Pu Pb
2 2 2
Direct
0.0000 0.0000 0.0000
0.5000 0.5000 0.5000
0.0000 0.0000 0.3109
0.5000 0.5000 0.8109
0.0000 0.0000 0.6501
0.5000 0.5000 0.1501
```



No. 2
Compound: MgCoAg
Source: Alexandria
Functional: GGA-PBE
Structure: relaxed

Values from the calculation:
- crystal system = orthorhombic
- energy (eV per atom) = -3.64
- formation energy from the elements (eV per atom) = 0.21
- offset from the most stable computed form (meV per atom) = 22

Cell and atoms, written as POSCAR:
```
MgCoAg
1.0
2.8310 0.0000 0.0000
0.0000 3.8977 0.0000
0.0000 0.0000 8.5045
Mg Co Ag
2 2 2
Direct
0.0000 0.0000 0.0000
0.5000 0.5000 0.5000
0.0000 0.0000 0.3379
0.5000 0.5000 0.8379
0.0000 0.0000 0.6744
0.5000 0.5000 0.1744
```



No. 3
Compound: PuPaAgAu
Source: Alexandria
Functional: GGA-PBE
Structure: relaxed

Values from the calculation:
- crystal system = cubic
- energy (eV per atom) = -7.65
- formation energy from the elements (eV per atom) = -0.16
- offset from the most stable computed form (meV per atom) = 0

Cell and atoms, written as POSCAR:
```
PuPaAgAu
1.0
6.9993 0.0000 0.0000
0.0000 6.9993 0.0000
0.0000 0.0000 6.9993
Pu Pa Ag Au
4 4 4 4
Direct
0.0000 0.0000 0.0000
0.0000 0.5000 0.5000
0.5000 0.0000 0.5000
0.5000 0.5000 0.0000
0.2500 0.2500 0.2500
0.2500 0.7500 0.7500
0.7500 0.2500 0.7500
0.7500 0.7500 0.2500
0.2500 0.2500 0.7500
0.2500 0.7500 0.2500
0.7500 0.2500 0.2500
0.7500 0.7500 0.7500
0.0000 0.0000 0.5000
0.0000 0.5000 0.0000
0.5000 0.0000 0.0000
0.5000 0.5000 0.5000
```



No. 4
Compound: Sr2InHg9
Source: Alexandria
Functional: GGA-PBE
Structure: relaxed

Values from the calculation:
- crystal system = tetragonal
- energy (eV per atom) = -1.02
- formation energy from the elements (eV per atom) = -0.28

Cell and atoms, written as POSCAR:
```
Sr2InHg9
1.0
4.8924 0.0000 0.0000
0.0000 4.8924 0.0000
0.0000 0.0000 13.9070
Sr In Hg
2 1 9
Direct
0.0000 0.0000 0.1765
0.0000 0.0000 0.8235
0.0000 0.0000 0.5000
0.0000 0.5000 0.0000
0.0000 0.5000 0.3450
0.0000 0.5000 0.6550
0.5000 0.0000 0.0000
0.5000 0.0000 0.3450
0.5000 0.0000 0.6550
0.5000 0.5000 0.1729
0.5000 0.5000 0.5000
0.5000 0.5000 0.8271
```